Entry 1:
Nb2ZnAg | PBE | relaxed

a b c (Å): 7.540 7.540 5.926
angles (deg): 50.49 50.49 90.00
Fractional coordinates of all 8 atoms:
Zn 0.500 0.500 0.000
Zn 0.250 0.750 0.500
Nb 0.375 0.381 0.750
Nb 0.875 0.869 0.750
Nb 0.131 0.625 0.250
Nb 0.619 0.125 0.250
Ag 0.750 0.250 0.500
Ag 0.000 0.000 0.000

Calculated values
Magnetic moment in μB/atom: 0.0000
Energy of formation from the pure elements in kJ/mol of formula units: 210

---

Entry 2:
Er4Sc2Cd | PBE | relaxed

a b c (Å): 5.348 6.579 11.421
angles (deg): 90.00 104.07 90.00
Site moments in Bohr magnetons follow the coordinates.
Fractional coordinates of all 14 atoms:
Sc 0.218 0.250 0.431  0.04
Sc 0.530 0.750 0.024  0.33
Sc 0.470 0.250 0.976  0.33
Sc 0.782 0.750 0.569  0.04
Er 0.361 0.992 0.707  0.06
Er 0.639 0.008 0.293  0.06
Er 0.361 0.508 0.707  0.06
Er 0.946 0.750 0.860  0.10
Er 0.204 0.750 0.423  0.04
Er 0.796 0.250 0.577  0.04
Er 0.639 0.492 0.293  0.06
Er 0.054 0.250 0.140  0.10
Cd 0.092 0.750 0.150  0.01
Cd 0.908 0.250 0.850  0.01

Calculated values
Magnetic moment in μB/atom: 0.1412
Energy of formation from the pure elements in kJ/mol of formula units: 28

---

Entry 3:
La3InGe3 | PBE | relaxed

a b c (Å): 6.263 9.063 9.063
angles (deg): 120.00 90.00 90.00
Fractional coordinates of all 14 atoms:
La 0.750 0.696 0.637
La 0.250 0.637 0.942
La 0.250 0.304 0.363
La 0.750 0.942 0.304
La 0.250 0.058 0.696
La 0.750 0.363 0.058
In 0.750 0.333 0.667
In 0.250 0.667 0.333
Ge 0.250 0.949 0.308
Ge 0.750 0.051 0.692
Ge 0.750 0.308 0.359
Ge 0.750 0.641 0.949
Ge 0.250 0.692 0.641
Ge 0.250 0.359 0.051

Calculated values
Magnetic moment in μB/atom: 0.0000
Energy of formation from the pure elements in kJ/mol of formula units: -422

---

Entry 4:
FeW | PBE | relaxed

a b c (Å): 2.664 2.664 8.334
angles (deg): 90.00 90.00 107.70
Site moments in Bohr magnetons follow the coordinates.
Fractional coordinates of all 4 atoms:
W 0.000 0.000 0.513  -0.10
W 0.500 0.500 0.237  -0.10
Fe 0.000 0.000 0.988  2.33
Fe 0.500 0.500 0.762  2.33

Calculated values
Magnetic moment in μB/atom: 1.0877
Energy of formation from the pure elements in kJ/mol of formula units: 21

---

Entry 5:
TbPa2O6 | PBE | relaxed

a b c (Å): 3.874 3.874 9.316
angles (deg): 90.00 90.00 120.00
Site moments in Bohr magnetons follow the coordinates.
Fractional coordinates of all 9 atoms:
O 0.667 0.333 0.584  -0.02
O 0.000 0.000 0.259  -0.01
O 0.333 0.667 0.416  -0.02
O 0.000 0.000 0.741  -0.01
O 0.333 0.667 0.906  -0.01
O 0.667 0.333 0.094  -0.01
Tb 0.000 0.000 0.000  0.01
Pa 0.667 0.333 0.328  0.51
Pa 0.333 0.667 0.672  0.51

Calculated values
Formation energy from raw total energies in eV/atom: -3.669
Magnetic moment in μB/atom: 0.1169

---

Entry 6:
BaAl2GaTc | PBE | relaxed

a b c (Å): 4.902 4.902 4.956
angles (deg): 90.00 90.00 90.00
Fractional coordinates of all 5 atoms:
Tc 0.000 0.000 0.000
Ba 0.500 0.500 0.500
Al 0.500 0.000 0.000
Al 0.000 0.500 0.000
Ga 0.000 0.000 0.500

Calculated values
Magnetic moment in μB/atom: 0.0000
Energy of formation from the pure elements in kJ/mol of formula units: -169

---

> Look up the magnetic moment of the second one.

0.1412 μB/atom

---

> What is the formula in the second record?

Er4Sc2Cd